1.
Rb2TiMn | PBE-GGA | optimized geometry

Lattice parameters (Å, degrees): 6.148 6.148 6.148 60.00 60.00 60.00
Sites, in units of the cell vectors:
Ti (0.000, 0.000, 0.000)
Mn (0.500, 0.500, 0.500)
Rb (0.750, 0.750, 0.750)
Rb (0.250, 0.250, 0.250)

Values from the calculation:
- Raw total energy: -3.295 eV per atom
- Spin magnetization: 1.26 μB per formula unit
- Formation energy from the elements: 5.82 eV/f.u.
- Space-group type: Fm-3m

2.
Rb2TiMn | PBE-GGA | optimized geometry

Lattice parameters (Å, degrees): 13.465 13.465 9.789 46.55 46.55 90.00
Sites, in units of the cell vectors:
Rb (0.952, 0.625, 0.250)
Mn (0.000, 0.000, 0.000)
Rb (0.798, 0.125, 0.250)
Mn (0.750, 0.250, 0.500)
Rb (0.875, 0.048, 0.750)
Ti (0.250, 0.750, 0.500)
Rb (0.375, 0.202, 0.750)
Ti (0.500, 0.500, 0.000)

Values from the calculation:
- Raw total energy: -3.676 eV per atom
- Spin magnetization: 0.91 μB per formula unit
- Formation energy from the elements: 4.30 eV/f.u.
- Space-group type: I-42d